1.
In2Ag2Te after structural relaxation. Source: Alexandria, functional PBE-GGA.

Cell and atoms, written as extended XYZ:
```
10
Lattice="8.849 0.000 0.000 0.000 8.849 0.000 0.000 0.000 3.082" Properties=species:S:1:pos:R:3 pbc="T T T"
In 1.673 2.751 0.000
In 2.751 7.176 0.000
In 6.098 1.673 0.000
In 7.176 6.098 0.000
Ag 0.974 5.399 1.541
Ag 3.450 0.974 1.541
Ag 5.399 7.875 1.541
Ag 7.875 3.450 1.541
Te 0.000 0.000 0.000
Te 4.425 4.425 0.000
```

Values from the calculation:
Total magnetization (μB per cell): 0.00
Formation energy from raw total energies (meV/atom): 30
Space-group type: P4/mbm, No. 127
Relative energy among the computed polymorphs (meV per atom): 30.5

***

2.
Y2HfCd2 after structural relaxation. Source: Alexandria, functional PBE-GGA.

Cell and atoms, written as extended XYZ:
```
5
Lattice="-1.915 1.915 9.780 1.915 -1.915 9.780 1.915 1.915 -9.780" Properties=species:S:1:pos:R:3 pbc="T T T"
Y 0.000 0.000 1.961
Y 0.000 0.000 17.600
Hf 0.000 0.000 9.780
Cd 1.915 0.000 4.890
Cd 0.000 1.915 4.890
```

Values from the calculation:
Total magnetization (μB per cell): 0.00
Space-group type: I4/mmm, No. 139
Relative energy among the computed polymorphs (meV per atom): 275.6
Calculated formation energy (kcal/mol of atoms): 6.18

***

3.
Sr2AgSe after structural relaxation. Source: Alexandria, functional PBE-GGA.

Cell and atoms, written as extended XYZ:
```
4
Lattice="5.438 0.000 0.000 0.000 5.438 0.000 0.000 0.000 3.954" Properties=species:S:1:pos:R:3 pbc="T T T"
Sr 0.000 2.719 0.000
Sr 2.719 0.000 0.000
Ag 0.000 0.000 1.977
Se 2.719 2.719 1.977
```

Values from the calculation:
Total magnetization (μB per cell): 0.00
Formation energy from raw total energies (meV/atom): -945
Space-group type: P4/mmm, No. 123

***

4.
Pr2ThGe2 after structural relaxation. Source: Alexandria, functional PBE-GGA.

Cell and atoms, written as extended XYZ:
```
5
Lattice="5.910 -1.957 0.000 5.910 1.957 0.000 -1.178 0.000 5.964" Properties=species:S:1:pos:R:3 pbc="T T T"
Pr 1.520 0.000 0.432
Pr 9.121 0.000 5.532
Th 5.321 0.000 2.982
Ge 1.787 0.000 3.646
Ge 8.854 0.000 2.318
```

Values from the calculation:
Total magnetization (μB per cell): 0.00
Space-group type: C2/m, No. 12
Calculated formation energy (kcal/mol of atoms): -11.84

***

5.
SrHfTa2Ga after structural relaxation. Source: Alexandria, functional PBE-GGA.

Cell and atoms, written as extended XYZ:
```
5
Lattice="4.932 0.000 0.000 0.000 4.932 0.000 0.000 0.000 5.100" Properties=species:S:1:pos:R:3 pbc="T T T"
Sr 0.000 0.000 0.000
Hf 2.466 2.466 2.550
Ta 0.000 2.466 0.000
Ta 2.466 0.000 0.000
Ga 0.000 0.000 2.550
```

Values from the calculation:
Total magnetization (μB per cell): 0.00
Space-group type: P4/mmm, No. 123
Calculated formation energy (kcal/mol of atoms): 54.05

***

6.
Cs4IrO6 after structural relaxation. Source: Alexandria, functional PBE-GGA.

Cell and atoms, written as extended XYZ:
```
22
Lattice="5.589 3.227 4.769 -5.589 3.227 4.769 0.000 -6.454 4.769" Properties=species:S:1:pos:R:3 pbc="T T T"
Cs -3.534 0.333 5.962
Cs 0.000 0.000 3.577
Cs -2.055 -2.894 8.347
Cs 1.479 -3.227 5.962
Cs -1.479 3.227 8.347
Cs 2.055 2.894 5.962
Cs 0.000 0.000 10.731
Cs 3.534 -0.333 8.347
Ir 0.000 0.000 0.000
Ir 0.000 0.000 7.154
O -4.944 -1.807 8.430
O -0.907 -5.185 5.879
O -4.037 3.378 5.879
O -0.907 -1.269 6.045
O -0.645 1.420 6.045
O -1.552 0.151 8.263
O 1.552 -0.151 6.045
O 0.645 -1.420 8.263
O 0.907 1.269 8.263
O 4.037 -3.378 8.430
O 0.907 5.185 8.430
O 4.944 1.807 5.879
```

Values from the calculation:
Total magnetization (μB per cell): 2.17
Formation energy from raw total energies (meV/atom): -1128
Space-group type: R-3c, No. 167

***

7.
Ac2Cu3Ni2 after structural relaxation. Source: Alexandria, functional PBE-GGA.

Cell and atoms, written as extended XYZ:
```
7
Lattice="5.166 -2.037 0.000 5.166 2.037 0.000 -3.340 0.000 6.452" Properties=species:S:1:pos:R:3 pbc="T T T"
Ac 0.445 0.000 1.681
Ac 6.547 0.000 4.771
Cu 3.256 0.000 0.479
Cu 3.496 0.000 3.226
Cu 3.737 0.000 5.973
Ni -0.897 0.000 4.456
Ni 7.890 0.000 1.996
```

Values from the calculation:
Total magnetization (μB per cell): 0.00
Space-group type: C2/m, No. 12
Calculated formation energy (kcal/mol of atoms): -3.63

***

8.
Mg2ReIr after structural relaxation. Source: Alexandria, functional PBE-GGA.

Cell and atoms, written as extended XYZ:
```
4
Lattice="2.890 0.000 0.000 0.000 3.769 0.000 0.000 0.000 5.999" Properties=species:S:1:pos:R:3 pbc="T T T"
Mg 0.000 0.000 0.000
Mg 1.445 1.885 1.638
Re 0.000 0.000 3.214
Ir 1.445 1.885 4.434
```

Values from the calculation:
Total magnetization (μB per cell): 0.00
Space-group type: Pmm2, No. 25
Relative energy among the computed polymorphs (meV per atom): 122.1
Calculated formation energy (kcal/mol of atoms): 0.87